# PmNd2DyAs4

PmNd2DyAs4 after structural relaxation (PBE-GGA, the Alexandria database).

CIF file:
```
data_PmNd2DyAs4
_symmetry_space_group_name_H-M 'P 1'
_symmetry_Int_Tables_number 1
_cell_length_a 7.318
_cell_length_b 4.229
_cell_length_c 7.319
_cell_angle_alpha 90.00
_cell_angle_beta 109.46
_cell_angle_gamma 90.00
loop_
_symmetry_equiv_pos_as_xyz
'x,y,z'
loop_
_atom_site_label
_atom_site_type_symbol
_atom_site_fract_x
_atom_site_fract_y
_atom_site_fract_z
Pm1 Pm 0.000 0.000 0.000
Nd1 Nd 0.500 0.000 0.500
Nd2 Nd 0.500 0.500 0.000
Dy1 Dy 0.000 0.500 0.500
As1 As 0.243 0.000 0.745
As2 As 0.245 0.500 0.252
As3 As 0.755 0.500 0.748
As4 As 0.757 0.000 0.255
```

Output
Calculated total energy (eV/atom): -6.20
Space-group type: P2/m, No. 10
Crystal system: monoclinic
Magnetization (μB per atom): 0.000

# Pm2NdDyAs4

Pm2NdDyAs4 after structural relaxation (PBE-GGA, the Alexandria database).

CIF file:
```
data_Pm2NdDyAs4
_symmetry_space_group_name_H-M 'P 1'
_symmetry_Int_Tables_number 1
_cell_length_a 7.304
_cell_length_b 4.221
_cell_length_c 7.304
_cell_angle_alpha 90.00
_cell_angle_beta 109.47
_cell_angle_gamma 90.00
loop_
_symmetry_equiv_pos_as_xyz
'x,y,z'
loop_
_atom_site_label
_atom_site_type_symbol
_atom_site_fract_x
_atom_site_fract_y
_atom_site_fract_z
Pm1 Pm 0.000 0.000 0.000
Pm2 Pm 0.000 0.500 0.500
Nd1 Nd 0.500 0.000 0.500
Dy1 Dy 0.500 0.500 0.000
As1 As 0.251 0.500 0.246
As2 As 0.254 0.000 0.755
As3 As 0.746 0.000 0.245
As4 As 0.749 0.500 0.754
```

Output
Calculated total energy (eV/atom): -6.20
Space-group type: P2/m, No. 10
Crystal system: monoclinic
Magnetization (μB per atom): 0.000

# PmNd3Dy2As6

PmNd3Dy2As6 after structural relaxation (PBE-GGA, the Alexandria database).

CIF file:
```
data_PmNd3Dy2As6
_symmetry_space_group_name_H-M 'P 1'
_symmetry_Int_Tables_number 1
_cell_length_a 7.303
_cell_length_b 7.303
_cell_length_c 7.302
_cell_angle_alpha 99.59
_cell_angle_beta 99.59
_cell_angle_gamma 119.99
loop_
_symmetry_equiv_pos_as_xyz
'x,y,z'
loop_
_atom_site_label
_atom_site_type_symbol
_atom_site_fract_x
_atom_site_fract_y
_atom_site_fract_z
Pm1 Pm 0.000 0.000 0.000
Nd1 Nd 0.166 0.834 0.500
Nd2 Nd 0.500 0.500 0.500
Nd3 Nd 0.834 0.166 0.500
Dy1 Dy 0.333 0.667 0.000
Dy2 Dy 0.667 0.333 0.000
As1 As 0.081 0.418 0.243
As2 As 0.256 0.256 0.757
As3 As 0.418 0.081 0.243
As4 As 0.582 0.919 0.757
As5 As 0.744 0.744 0.243
As6 As 0.919 0.582 0.757
```

Output
Calculated total energy (eV/atom): -6.20
Space-group type: C2/m, No. 12
Crystal system: monoclinic
Magnetization (μB per atom): 0.000

# Pr2NdDyAs4

Pr2NdDyAs4 after structural relaxation (PBE-GGA, the Alexandria database).

CIF file:
```
data_Pr2NdDyAs4
_symmetry_space_group_name_H-M 'P 1'
_symmetry_Int_Tables_number 1
_cell_length_a 7.364
_cell_length_b 4.256
_cell_length_c 7.365
_cell_angle_alpha 90.00
_cell_angle_beta 109.46
_cell_angle_gamma 90.00
loop_
_symmetry_equiv_pos_as_xyz
'x,y,z'
loop_
_atom_site_label
_atom_site_type_symbol
_atom_site_fract_x
_atom_site_fract_y
_atom_site_fract_z
Pr1 Pr 0.000 0.000 0.000
Pr2 Pr 0.000 0.500 0.500
Nd1 Nd 0.500 0.000 0.500
Dy1 Dy 0.500 0.500 0.000
As1 As 0.255 0.500 0.248
As2 As 0.258 0.000 0.757
As3 As 0.742 0.000 0.243
As4 As 0.745 0.500 0.752
```

Output
Calculated total energy (eV/atom): -6.20
Space-group type: P2/m, No. 10
Crystal system: monoclinic
Magnetization (μB per atom): 0.000

# PrNdDy2As4

PrNdDy2As4 after structural relaxation (PBE-GGA, the Alexandria database).

CIF file:
```
data_PrNdDy2As4
_symmetry_space_group_name_H-M 'P 1'
_symmetry_Int_Tables_number 1
_cell_length_a 7.279
_cell_length_b 4.209
_cell_length_c 7.285
_cell_angle_alpha 90.00
_cell_angle_beta 109.48
_cell_angle_gamma 90.00
loop_
_symmetry_equiv_pos_as_xyz
'x,y,z'
loop_
_atom_site_label
_atom_site_type_symbol
_atom_site_fract_x
_atom_site_fract_y
_atom_site_fract_z
Pr1 Pr 0.000 0.000 0.000
Nd1 Nd 0.000 0.500 0.500
Dy1 Dy 0.500 0.000 0.500
Dy2 Dy 0.500 0.500 0.000
As1 As 0.260 0.000 0.752
As2 As 0.261 0.500 0.255
As3 As 0.739 0.500 0.745
As4 As 0.740 0.000 0.248
```

Output
Calculated total energy (eV/atom): -6.18
Space-group type: P2/m, No. 10
Crystal system: monoclinic
Magnetization (μB per atom): 0.000

# PrNd2DyAs4

PrNd2DyAs4 after structural relaxation (PBE-GGA, the Alexandria database).

CIF file:
```
data_PrNd2DyAs4
_symmetry_space_group_name_H-M 'P 1'
_symmetry_Int_Tables_number 1
_cell_length_a 7.350
_cell_length_b 4.248
_cell_length_c 7.350
_cell_angle_alpha 90.00
_cell_angle_beta 109.46
_cell_angle_gamma 90.00
loop_
_symmetry_equiv_pos_as_xyz
'x,y,z'
loop_
_atom_site_label
_atom_site_type_symbol
_atom_site_fract_x
_atom_site_fract_y
_atom_site_fract_z
Pr1 Pr 0.000 0.000 0.000
Nd1 Nd 0.000 0.500 0.500
Nd2 Nd 0.500 0.000 0.500
Dy1 Dy 0.500 0.500 0.000
As1 As 0.255 0.500 0.248
As2 As 0.257 0.000 0.755
As3 As 0.743 0.000 0.245
As4 As 0.745 0.500 0.752
```

Output
Calculated total energy (eV/atom): -6.20
Space-group type: P2/m, No. 10
Crystal system: monoclinic
Magnetization (μB per atom): 0.000

# Pr3Nd2DyAs6

Pr3Nd2DyAs6 after structural relaxation (PBE-GGA, the Alexandria database).

CIF file:
```
data_Pr3Nd2DyAs6
_symmetry_space_group_name_H-M 'P 1'
_symmetry_Int_Tables_number 1
_cell_length_a 9.536
_cell_length_b 9.536
_cell_length_c 8.530
_cell_angle_alpha 102.93
_cell_angle_beta 102.93
_cell_angle_gamma 25.86
loop_
_symmetry_equiv_pos_as_xyz
'x,y,z'
loop_
_atom_site_label
_atom_site_type_symbol
_atom_site_fract_x
_atom_site_fract_y
_atom_site_fract_z
Pr1 Pr 0.000 0.000 0.000
Pr2 Pr 0.333 0.333 0.666
Pr3 Pr 0.667 0.667 0.334
Nd1 Nd 0.334 0.334 0.168
Nd2 Nd 0.666 0.666 0.832
Dy1 Dy 0.000 0.000 0.500
As1 As 0.164 0.164 0.583
As2 As 0.167 0.167 0.082
As3 As 0.500 0.500 0.258
As4 As 0.500 0.500 0.742
As5 As 0.833 0.833 0.918
As6 As 0.836 0.836 0.417
```

Output
Calculated total energy (eV/atom): -6.20
Space-group type: C2/m, No. 12
Crystal system: monoclinic
Magnetization (μB per atom): 0.000

# Nd2DyPuAs4

Nd2DyPuAs4 after structural relaxation (PBE-GGA, the Alexandria database).

CIF file:
```
data_Nd2DyPuAs4
_symmetry_space_group_name_H-M 'P 1'
_symmetry_Int_Tables_number 1
_cell_length_a 7.263
_cell_length_b 4.206
_cell_length_c 7.268
_cell_angle_alpha 90.00
_cell_angle_beta 109.46
_cell_angle_gamma 90.00
loop_
_symmetry_equiv_pos_as_xyz
'x,y,z'
loop_
_atom_site_label
_atom_site_type_symbol
_atom_site_fract_x
_atom_site_fract_y
_atom_site_fract_z
Nd1 Nd 0.000 0.000 0.000
Nd2 Nd 0.500 0.500 0.000
Dy1 Dy 0.000 0.500 0.500
Pu1 Pu 0.500 0.000 0.500
As1 As 0.248 0.000 0.740
As2 As 0.255 0.500 0.261
As3 As 0.745 0.500 0.739
As4 As 0.752 0.000 0.260
```

Output
Calculated total energy (eV/atom): -7.27
Space-group type: P2/m, No. 10
Crystal system: monoclinic
Magnetization (μB per atom): 0.617

# NdDyAs2Rh5

NdDyAs2Rh5 after structural relaxation (PBE-GGA, the Alexandria database).

CIF file:
```
data_NdDyAs2Rh5
_symmetry_space_group_name_H-M 'P 1'
_symmetry_Int_Tables_number 1
_cell_length_a 4.272
_cell_length_b 4.272
_cell_length_c 8.844
_cell_angle_alpha 90.00
_cell_angle_beta 90.00
_cell_angle_gamma 90.00
loop_
_symmetry_equiv_pos_as_xyz
'x,y,z'
loop_
_atom_site_label
_atom_site_type_symbol
_atom_site_fract_x
_atom_site_fract_y
_atom_site_fract_z
Nd1 Nd 0.000 0.000 0.000
Dy1 Dy 0.000 0.000 0.500
As1 As 0.500 0.500 0.354
As2 As 0.500 0.500 0.646
Rh1 Rh 0.000 0.500 0.238
Rh2 Rh 0.000 0.500 0.762
Rh3 Rh 0.500 0.000 0.238
Rh4 Rh 0.500 0.000 0.762
Rh5 Rh 0.500 0.500 0.000
```

Output
Calculated total energy (eV/atom): -6.90
Space-group type: P4/mmm, No. 123
Crystal system: tetragonal
Magnetization (μB per atom): 0.000

# NdDyAsSe

NdDyAsSe after structural relaxation (PBE-GGA, the Alexandria database).

CIF file:
```
data_NdDyAsSe
_symmetry_space_group_name_H-M 'P 1'
_symmetry_Int_Tables_number 1
_cell_length_a 7.281
_cell_length_b 7.281
_cell_length_c 7.281
_cell_angle_alpha 33.27
_cell_angle_beta 33.27
_cell_angle_gamma 33.27
loop_
_symmetry_equiv_pos_as_xyz
'x,y,z'
loop_
_atom_site_label
_atom_site_type_symbol
_atom_site_fract_x
_atom_site_fract_y
_atom_site_fract_z
Nd1 Nd 0.000 0.000 0.000
Dy1 Dy 0.508 0.508 0.508
As1 As 0.250 0.250 0.250
Se1 Se 0.758 0.758 0.758
```

Output
Calculated total energy (eV/atom): -6.09
Space-group type: R3m, No. 160
Crystal system: trigonal
Magnetization (μB per atom): 0.000

Question: Look up the magnetization of the first one.
Answer: 0.000 μB per atom